Material: In2TcC
Method: DFT, PBE
State: relaxed

Geometry as POSCAR:
```
In2TcC
1.0
-4.380 4.380 2.015
4.380 -4.380 2.015
4.380 4.380 -2.015
In Tc C
4 2 2
Cartesian
0.936 2.190 0.504
-2.190 3.444 1.512
-0.936 6.570 0.504
2.190 5.315 1.512
4.380 0.000 1.008
0.000 0.000 2.015
0.000 0.000 0.000
0.000 4.380 1.008
```

DOS at the Fermi energy: 2.6 states/eV/f.u.
E: -5.418 eV/atom
symmetry: I-42d
energy of formation from the pure elements: 0.85 eV per atom
size of the total moment: 0.00 μB/f.u.



Material: Ti2InTcC
Method: DFT, PBE
State: relaxed

Geometry as POSCAR:
```
Ti2InTcC
1.0
4.261 0.000 0.000
0.000 4.261 0.000
0.000 0.000 4.097
Ti In Tc C
2 1 1 1
Cartesian
0.000 2.130 0.000
2.130 0.000 0.000
0.000 0.000 2.049
2.130 2.130 2.049
2.130 2.130 0.000
```

DOS at the Fermi energy: 4.6 states/eV/f.u.
E: -7.974 eV/atom
symmetry: P4/mmm
energy of formation from the pure elements: -0.35 eV per atom
size of the total moment: 0.00 μB/f.u.



Material: InTcWC2
Method: DFT, PBE
State: relaxed

Geometry as POSCAR:
```
InTcWC2
1.0
4.076 0.000 0.000
0.000 4.076 0.000
0.000 0.000 5.116
In Tc W C
1 1 1 2
Cartesian
0.000 0.000 0.000
2.038 2.038 0.000
2.038 2.038 2.558
0.000 2.038 2.558
2.038 0.000 2.558
```

DOS at the Fermi energy: 4.9 states/eV/f.u.
E: -7.252 eV/atom
symmetry: P4/mmm
energy of formation from the pure elements: 1.65 eV per atom
size of the total moment: 0.68 μB/f.u.



Material: Y2InTcC
Method: DFT, PBE
State: relaxed

Geometry as POSCAR:
```
Y2InTcC
1.0
4.999 0.000 0.000
0.000 4.999 0.000
0.000 0.000 4.032
Y In Tc C
2 1 1 1
Cartesian
0.000 2.499 0.000
2.499 0.000 0.000
0.000 0.000 2.016
2.499 2.499 2.016
2.499 2.499 0.000
```

DOS at the Fermi energy: 2.0 states/eV/f.u.
E: -7.450 eV/atom
symmetry: P4/mmm
energy of formation from the pure elements: -0.40 eV per atom
size of the total moment: 0.00 μB/f.u.



Material: Zr2InTcC
Method: DFT, PBE
State: relaxed

Geometry as POSCAR:
```
Zr2InTcC
1.0
4.640 0.000 0.000
0.000 4.640 0.000
0.000 0.000 4.052
Zr In Tc C
2 1 1 1
Cartesian
0.000 2.320 0.000
2.320 0.000 0.000
0.000 0.000 2.026
2.320 2.320 2.026
2.320 2.320 0.000
```

DOS at the Fermi energy: 3.6 states/eV/f.u.
E: -8.244 eV/atom
symmetry: P4/mmm
energy of formation from the pure elements: -0.36 eV per atom
size of the total moment: 0.00 μB/f.u.



Material: InTeC
Method: DFT, PBE
State: relaxed

Geometry as POSCAR:
```
InTeC
1.0
4.953 0.000 0.000
-0.228 5.681 0.000
-0.211 -2.131 6.143
In Te C
2 2 2
Cartesian
0.000 0.000 0.000
2.078 0.163 4.162
1.774 4.288 1.715
4.543 1.719 3.820
1.758 -1.251 5.813
2.839 0.162 0.376
```

DOS at the Fermi energy: 0.1 states/eV/f.u.
ΔE to the lowest computed polymorph: 0.0 meV per atom
E: -4.581 eV/atom
symmetry: P1
size of the total moment: 0.00 μB/f.u.



Material: InTe3C
Method: DFT, PBE
State: relaxed

Geometry as POSCAR:
```
InTe3C
1.0
5.690 0.000 0.000
0.000 5.690 0.000
0.000 0.000 5.690
In Te C
1 3 1
Cartesian
0.000 0.000 0.000
0.000 0.000 2.845
0.000 2.845 0.000
2.845 0.000 0.000
2.845 2.845 2.845
```

DOS at the Fermi energy: 7.6 states/eV/f.u.
ΔE to the lowest computed polymorph: 1045.3 meV per atom
E: -2.421 eV/atom
symmetry: Pm-3m
size of the total moment: 0.74 μB/f.u.



Material: InTe2C
Method: DFT, PBE
State: relaxed

Geometry as POSCAR:
```
InTe2C
1.0
2.463 1.422 7.262
-2.463 1.422 7.262
0.000 -2.844 7.262
In Te C
1 2 1
Cartesian
0.000 0.000 0.000
0.000 0.000 8.949
0.000 0.000 12.837
0.000 0.000 10.893
```

DOS at the Fermi energy: 3.1 states/eV/f.u.
ΔE to the lowest computed polymorph: 88.5 meV per atom
E: -3.634 eV/atom
symmetry: R-3m
size of the total moment: 0.00 μB/f.u.



Material: InTe2C
Method: DFT, PBE
State: relaxed

Geometry as POSCAR:
```
InTe2C
1.0
-3.604 3.604 4.094
3.604 -3.604 4.094
3.604 3.604 -4.094
In Te C
2 4 2
Cartesian
0.000 0.000 0.000
0.000 3.604 2.047
1.802 -1.010 3.070
2.594 1.802 1.023
1.802 4.615 -1.023
1.010 1.802 5.117
3.604 0.000 2.047
0.000 0.000 4.094
```

DOS at the Fermi energy: 4.0 states/eV/f.u.
ΔE to the lowest computed polymorph: 0.0 meV per atom
E: -3.723 eV/atom
symmetry: I-42d
size of the total moment: 0.00 μB/f.u.



Material: InTeC
Method: DFT, PBE
State: relaxed

Geometry as POSCAR:
```
InTeC
1.0
-3.096 4.886 2.330
3.096 -4.886 2.330
3.096 4.886 -2.330
In Te C
2 2 2
Cartesian
1.548 1.369 0.000
1.548 3.517 2.330
1.548 -0.797 2.349
1.548 5.683 0.019
0.000 0.000 1.085
3.096 0.000 1.085
```

DOS at the Fermi energy: 1.2 states/eV/f.u.
ΔE to the lowest computed polymorph: 425.0 meV per atom
E: -4.156 eV/atom
symmetry: Ima2
size of the total moment: 0.00 μB/f.u.



Material: InTe2C2
Method: DFT, PBE
State: relaxed

Geometry as POSCAR:
```
InTe2C2
1.0
8.197 0.000 0.000
0.000 8.197 0.000
0.000 0.000 3.307
In Te C
2 4 4
Cartesian
0.000 0.000 0.000
4.099 4.099 0.000
1.270 2.828 1.654
2.828 6.927 1.654
5.369 1.270 1.654
6.927 5.369 1.654
1.886 5.985 0.000
2.213 1.886 0.000
5.985 6.311 0.000
6.311 2.213 0.000
```

DOS at the Fermi energy: 2.3 states/eV/f.u.
ΔE to the lowest computed polymorph: 216.0 meV per atom
E: -4.038 eV/atom
symmetry: P4/mbm
size of the total moment: 0.00 μB/f.u.



Material: InTeC
Method: DFT, PBE
State: relaxed

Geometry as POSCAR:
```
InTeC
1.0
3.921 0.000 0.000
1.241 5.527 0.000
1.702 1.978 6.318
In Te C
2 2 2
Cartesian
0.000 0.000 0.000
3.229 4.350 2.807
4.563 4.712 5.835
4.620 1.649 3.449
3.202 4.572 0.573
5.189 5.100 3.745
```

DOS at the Fermi energy: 0.2 states/eV/f.u.
ΔE to the lowest computed polymorph: 348.7 meV per atom
E: -4.232 eV/atom
symmetry: P1
size of the total moment: 0.00 μB/f.u.



Material: InTeC
Method: DFT, PBE
State: relaxed

Geometry as POSCAR:
```
InTeC
1.0
5.549 -3.801 0.000
5.549 3.801 0.000
-1.866 0.000 4.221
In Te C
2 2 2
Cartesian
5.549 2.374 0.000
5.549 -2.374 0.000
6.253 1.831 2.836
6.253 -1.831 2.836
2.317 0.663 3.589
2.317 -0.663 3.589
```

ΔE to the lowest computed polymorph: 98.3 meV per atom
E: -4.483 eV/atom
symmetry: Cm
size of the total moment: 0.00 μB/f.u.